1.
! Ho3InCo, relaxed, DFT PBE; values from VASP
! DFT total energy = -24.5 eV/f.u.
! theoretical density = 8.296 g cm⁻³
! energy relative to the lowest polymorph listed for this composition = 82.8 meV/atom
! symmetry = Pm-3m, No. 221
! Fermi-level density of states = 5.8 states/eV per cell
&SYSTEM
  ibrav = 0, nat = 5, ntyp = 3
/
ATOMIC_SPECIES
Ho 164.93 Ho.upf
In 114.82 In.upf
Co 58.93 Co.upf
CELL_PARAMETERS angstrom
5.115 0.000 0.000
0.000 5.115 0.000
0.000 0.000 5.115
ATOMIC_POSITIONS angstrom
Ho 0.000 0.000 2.557
Ho 0.000 2.557 0.000
Ho 2.557 0.000 0.000
In 2.557 2.557 2.557
Co 0.000 0.000 0.000

---

2.
! Ho4In3Co, relaxed, DFT PBE; values from VASP
! DFT total energy = -36.8 eV/f.u.
! theoretical density = 9.093 g cm⁻³
! symmetry = P4/mmm, No. 123
! Fermi-level density of states = 5.6 states/eV per cell
&SYSTEM
  ibrav = 0, nat = 8, ntyp = 3
/
ATOMIC_SPECIES
Ho 164.93 Ho.upf
In 114.82 In.upf
Co 58.93 Co.upf
CELL_PARAMETERS angstrom
3.478 0.000 0.000
0.000 3.478 0.000
0.000 0.000 16.051
ATOMIC_POSITIONS angstrom
Ho 0.000 0.000 1.598
Ho 0.000 0.000 5.882
Ho 0.000 0.000 10.169
Ho 0.000 0.000 14.452
In 1.739 1.739 3.767
In 1.739 1.739 8.025
In 1.739 1.739 12.284
Co 1.739 1.739 0.000